A relaxed Mn2ZnOs crystal, computed with PBE-GGA.

The formation energy from the elements comes out at 15.3 kJ per mole of atoms. The value obtained for the magnetic moment is 1.8 μB/f.u.

The space group is R3m (No. 160, hexagonal axes) and the conventional cell measures 2.6489, 2.6489 and 25.5069 Å, with angles of 90.00, 90.00 and 120.00 degrees. The inequivalent atoms are Mn at (0.0000, 0.0000, 0.0000), Mn at (0.0000, 0.0000, 0.1690), Zn at (0.0000, 0.0000, 0.4178) and Os at (0.0000, 0.0000, 0.5809).

A relaxed CsBa2Na2Bi2 crystal, computed with PBE-GGA.

The formation energy from the elements comes out at -51.9 kJ per mole of atoms. The value obtained for the magnetic moment is 0.8 μB/f.u.

The space group is R-3m (No. 166, hexagonal axes) and the conventional cell measures 5.6642, 5.6642 and 34.6402 Å, with angles of 90.00, 90.00 and 120.00 degrees. The inequivalent atoms are Cs at (0.0000, 0.0000, 0.0000), Ba at (0.0000, 0.0000, 0.1314), Na at (0.0000, 0.0000, 0.4112) and Bi at (0.0000, 0.0000, 0.2456).

A relaxed CoCuP2 crystal, computed with PBE-GGA.

The formation energy from the elements comes out at -2.0 kJ per mole of atoms. The value obtained for the magnetic moment is 0.0 μB/f.u.

The space group is R-3m (No. 166, hexagonal axes) and the conventional cell measures 2.8988, 2.8988 and 20.7171 Å, with angles of 90.00, 90.00 and 120.00 degrees. The inequivalent atoms are Co at (0.0000, 0.0000, 0.0000), Cu at (0.0000, 0.0000, 0.5000) and P at (0.0000, 0.0000, 0.2577).

A relaxed LiDy5Te6 crystal, computed with PBE-GGA.

For the energy relative to the elements, uncorrected, the calculation gives -1.305 eV/atom. The value obtained for the magnetic moment is 0.0 μB/f.u.

The space group is C2/m (No. 12) and the conventional cell measures 7.497, 12.982 and 7.521 Å, with angles of 90.00, 109.50 and 90.00 degrees. The inequivalent atoms are Li at (0.000, 0.000, 0.000), Dy at (0.000, 0.170, 0.500), Dy at (0.000, 0.336, 0.000), Dy at (0.000, 0.500, 0.500), Te at (0.239, 0.000, 0.755) and Te at (0.241, 0.161, 0.243).

A relaxed HfTc2Rh2 crystal, computed with PBE-GGA.

The calculation puts the distance to the lowest polymorph of the same formula at 0.0199 eV/atom. The formation energy from the elements comes out at -9.8 kJ per mole of atoms. The value obtained for the magnetic moment is 0.0 μB/f.u.

The space group is P4/mbm (No. 127) and the conventional cell measures 7.597, 7.597 and 2.761 Å, with angles of 90.00, 90.00 and 90.00 degrees. The inequivalent atoms are Hf at (0.000, 0.000, 0.000), Tc at (0.175, 0.325, 0.500) and Rh at (0.122, 0.622, 0.000).

A relaxed YZn2GaNi crystal, computed with PBE-GGA.

The calculation puts the distance to the lowest polymorph of the same formula at 0.0000 eV/atom. The formation energy from the elements comes out at -39.5 kJ per mole of atoms. The value obtained for the magnetic moment is 0.0 μB/f.u.

The space group is Imm2 (No. 44) and the conventional cell measures 3.942, 4.092 and 10.835 Å, with angles of 90.00, 90.00 and 90.00 degrees. The inequivalent atoms are Y at (0.000, 0.000, 0.000), Zn at (0.000, 0.000, 0.610), Zn at (0.000, 0.500, 0.264), Ga at (0.000, 0.500, 0.761) and Ni at (0.000, 0.000, 0.391).

A relaxed TbScInIr crystal, computed with PBE-GGA.

The formation energy from the elements comes out at -53.2 kJ per mole of atoms. The value obtained for the magnetic moment is 0.0 μB/f.u.

The space group is F-43m (No. 216) and the conventional cell measures 6.999, 6.999 and 6.999 Å, with angles of 90.00, 90.00 and 90.00 degrees. The inequivalent atoms are Tb at (0.000, 0.000, 0.000), Sc at (0.000, 0.000, 0.500), In at (0.250, 0.250, 0.750) and Ir at (0.250, 0.250, 0.250).

A relaxed TbEuZnSi crystal, computed with PBE-GGA.

For the energy relative to the elements, uncorrected, the calculation gives -0.389 eV/atom. The value obtained for the magnetic moment is 7.3 μB/f.u.

The space group is F-43m (No. 216) and the conventional cell measures 7.207, 7.207 and 7.207 Å, with angles of 90.00, 90.00 and 90.00 degrees. The inequivalent atoms are Tb at (0.000, 0.000, 0.000), Eu at (0.000, 0.000, 0.500), Zn at (0.250, 0.250, 0.750) and Si at (0.250, 0.250, 0.250).

A relaxed Pr12SmAl3 crystal, computed with PBE-GGA.

The formation energy from the elements comes out at -10.3 kJ per mole of atoms. The value obtained for the magnetic moment is 0.0 μB/f.u.

The space group is P4/mmm (No. 123) and the conventional cell measures 4.978, 4.978 and 20.344 Å, with angles of 90.00, 90.00 and 90.00 degrees. The inequivalent atoms are Pr at (0.000, 0.000, 0.000), Pr at (0.000, 0.000, 0.241), Pr at (0.000, 0.000, 0.500), Pr at (0.000, 0.500, 0.121), Pr at (0.000, 0.500, 0.364), Sm at (0.500, 0.500, 0.500), Al at (0.500, 0.500, 0.000) and Al at (0.500, 0.500, 0.242).

A relaxed KUCuS3 crystal, computed with PBE-GGA.

The calculation puts the distance to the lowest polymorph of the same formula at 0.0000 eV/atom. For the energy relative to the elements, uncorrected, the calculation gives -1.210 eV/atom. The value obtained for the magnetic moment is 2.0 μB/f.u.

The space group is Cmcm (No. 63) and the conventional cell measures 3.969, 14.168 and 10.301 Å, with angles of 90.00, 90.00 and 90.00 degrees. The inequivalent atoms are K at (0.000, 0.244, 0.250), U at (0.000, 0.500, 0.000), Cu at (0.000, 0.033, 0.750), S at (0.000, 0.122, 0.563) and S at (0.000, 0.439, 0.750).

The highest magnetic moment belongs to which entry?
TbEuZnSi